(1)
DFT (PBE) results for crystalline GaGeOs at its relaxed geometry.

## Properties
Its spin magnetization is 0.003 Bohr magnetons per cell. The calculation puts the calculated total energy at -6.16 eV/atom.

Structure (POSCAR):
```
GaGeOs
1.0
5.944 0.000 0.000
0.000 5.944 0.000
0.000 0.000 5.944
Ga Ge Os
4 4 4
Direct
0.000 0.000 0.000
0.000 0.500 0.500
0.500 0.000 0.500
0.500 0.500 0.000
0.000 0.000 0.500
0.000 0.500 0.000
0.500 0.000 0.000
0.500 0.500 0.500
0.250 0.250 0.250
0.250 0.750 0.750
0.750 0.250 0.750
0.750 0.750 0.250
```

(2)
DFT (PBE) results for crystalline InBi5Ir3 at its relaxed geometry.

## Properties
Its spin magnetization is 0.009 Bohr magnetons per cell. The calculation puts the calculated total energy at -5.36 eV/atom.

Structure (POSCAR):
```
InBi5Ir3
1.0
5.776 0.000 0.000
-2.888 5.003 0.000
0.000 0.000 8.186
In Bi Ir
1 5 3
Direct
0.000 0.000 0.000
0.000 0.000 0.500
0.333 0.667 0.219
0.333 0.667 0.781
0.667 0.333 0.219
0.667 0.333 0.781
0.000 0.500 0.500
0.500 0.000 0.500
0.500 0.500 0.500
```

(3)
DFT (PBE) results for crystalline HfFeAsPt at its relaxed geometry.

## Properties
Its spin magnetization is 7.487 Bohr magnetons per cell. The calculation puts the calculated total energy at -7.52 eV/atom.

Structure (POSCAR):
```
HfFeAsPt
1.0
6.379 0.000 0.000
0.000 6.379 0.000
0.000 0.000 6.379
Hf Fe As Pt
4 4 4 4
Direct
0.000 0.000 0.000
0.000 0.500 0.500
0.500 0.000 0.500
0.500 0.500 0.000
0.250 0.250 0.750
0.250 0.750 0.250
0.750 0.250 0.250
0.750 0.750 0.750
0.000 0.000 0.500
0.000 0.500 0.000
0.500 0.000 0.000
0.500 0.500 0.500
0.250 0.250 0.250
0.250 0.750 0.750
0.750 0.250 0.750
0.750 0.750 0.250
```

(4)
DFT (PBE) results for crystalline Pr2SiAu at its relaxed geometry.

## Properties
Its spin magnetization is 1.072 Bohr magnetons per cell. The calculation puts the calculated total energy at -5.25 eV/atom.

Structure (POSCAR):
```
Pr2SiAu
1.0
4.393 0.000 0.000
0.000 7.939 0.000
0.000 0.000 6.044
Pr Si Au
4 2 2
Direct
0.000 0.070 0.000
0.000 0.578 0.229
0.500 0.422 0.729
0.500 0.930 0.500
0.000 0.704 0.720
0.500 0.296 0.220
0.000 0.211 0.489
0.500 0.789 0.989
```

(5)
DFT (PBE) results for crystalline Lu4NiN3 at its relaxed geometry.

## Properties
Its spin magnetization is 0.941 Bohr magnetons per cell. The calculation puts the calculated total energy at -7.47 eV/atom.

Structure (POSCAR):
```
Lu4NiN3
1.0
3.355 0.000 0.000
-1.677 2.905 0.000
0.000 0.000 24.058
Lu Ni N
8 2 6
Direct
0.000 0.000 0.168
0.000 0.000 0.332
0.000 0.000 0.668
0.000 0.000 0.832
0.333 0.667 0.056
0.333 0.667 0.444
0.667 0.333 0.556
0.667 0.333 0.944
0.333 0.667 0.250
0.667 0.333 0.750
0.000 0.000 0.000
0.000 0.000 0.500
0.333 0.667 0.615
0.333 0.667 0.885
0.667 0.333 0.115
0.667 0.333 0.385
```

(6)
DFT (PBE) results for crystalline RbPrPO at its relaxed geometry.

## Properties
Its spin magnetization is 0.000 Bohr magnetons per cell. The calculation puts the calculated total energy at -4.98 eV/atom.

Structure (POSCAR):
```
RbPrPO
1.0
4.272 0.000 0.000
0.000 4.272 0.000
0.000 0.000 5.234
Rb Pr P O
1 1 1 1
Direct
0.000 0.000 0.000
0.500 0.500 0.500
0.000 0.000 0.500
0.500 0.500 0.000
```

(7)
DFT (PBE) results for crystalline LiYGePd at its relaxed geometry.

## Properties
Its spin magnetization is 0.001 Bohr magnetons per cell. The calculation puts the calculated total energy at -5.21 eV/atom.

Structure (POSCAR):
```
LiYGePd
1.0
6.548 0.000 0.000
0.000 6.548 0.000
0.000 0.000 6.548
Li Y Ge Pd
4 4 4 4
Direct
0.000 0.000 0.000
0.000 0.500 0.500
0.500 0.000 0.500
0.500 0.500 0.000
0.250 0.250 0.750
0.250 0.750 0.250
0.750 0.250 0.250
0.750 0.750 0.750
0.000 0.000 0.500
0.000 0.500 0.000
0.500 0.000 0.000
0.500 0.500 0.500
0.250 0.250 0.250
0.250 0.750 0.750
0.750 0.250 0.750
0.750 0.750 0.250
```

(8)
DFT (PBE) results for crystalline LiLuSnS3 at its relaxed geometry.

## Properties
Its spin magnetization is 0.006 Bohr magnetons per cell. The calculation puts the calculated total energy at -5.07 eV/atom.

Structure (POSCAR):
```
LiLuSnS3
1.0
1.959 -6.355 0.000
1.959 6.355 0.000
0.000 0.000 10.071
Li Lu Sn S
2 2 2 6
Direct
0.028 0.972 0.750
0.972 0.028 0.250
0.500 0.500 0.000
0.500 0.500 0.500
0.247 0.753 0.250
0.753 0.247 0.750
0.136 0.864 0.562
0.136 0.864 0.938
0.421 0.579 0.750
0.579 0.421 0.250
0.864 0.136 0.062
0.864 0.136 0.438
```